The following is a DFT calculation (PBE) of crystalline Ba2YRu at its relaxed geometry.

a b c (Å): 6.4751 10.2342 3.9042
angles (deg): 90.00 90.00 90.00
Last column: nearest neighbours and their distance in Å.
Space group Cmmm (No. 65)
Unique sites:
Ba 0.2500 0.2500 0.0000 (multiplicity 4)  2 Ba 3.24, 4 Y 3.60, 4 Ru 3.60
Y 0.0000 0.0000 0.5000 (multiplicity 2)  2 Ru 3.24, 8 Ba 3.60
Ru 0.0000 0.5000 0.5000 (multiplicity 2)  2 Y 3.24, 8 Ba 3.60

## Properties
**ΔH_f (0 K)**: 0.731 eV per atom
**Calculated total energy**: -0.153 Ha/atom
**Energy above the most stable polymorph in this dataset**: 628 meV per atom

***

The following is a DFT calculation (PBE) of crystalline CdIrSe at its relaxed geometry.

a b c (Å): 4.2292 4.2292 3.8335
angles (deg): 90.00 90.00 120.00
Last column: nearest neighbours and their distance in Å.
Space group P-6m2 (No. 187)
Unique sites:
Cd 0.0000 0.0000 0.0000 (multiplicity 1)  6 Ir 3.10, 6 Se 3.10
Ir 0.6667 0.3333 0.5000 (multiplicity 1)  3 Se 2.44
Se 0.3333 0.6667 0.5000 (multiplicity 1)  3 Ir 2.44

## Properties
**Calculated total energy**: -0.154 Ha/atom
**Energy relative to the elements, uncorrected**: 0.240 eV/atom
**Energy above the most stable polymorph in this dataset**: 143 meV per atom

***

The following is a DFT calculation (PBE) of crystalline SiHgSe at its relaxed geometry.

a b c (Å): 3.5307 3.5307 7.9056
angles (deg): 90.00 90.00 120.00
Last column: nearest neighbours and their distance in Å.
Space group P3m1 (No. 156)
Unique sites:
Si 0.0000 0.0000 0.0000 (multiplicity 1)  3 Se 2.48
Hg 0.3333 0.6667 0.3369 (multiplicity 1)  3 Si 3.35, 6 Hg 3.53
Se 0.6667 0.3333 0.8219 (multiplicity 1)  3 Si 2.48

## Properties
**Calculated total energy**: -0.112 Ha/atom
**Energy relative to the elements, uncorrected**: 0.017 eV/atom
**Energy above the most stable polymorph in this dataset**: 74 meV per atom

***

The following is a DFT calculation (PBE) of crystalline Na2CuCl3 at its relaxed geometry.

a b c (Å): 4.1718 12.8794 5.8333
angles (deg): 90.00 90.00 90.00
Last column: nearest neighbours and their distance in Å.
Space group Imm2 (No. 44)
Unique sites:
Na 0.0000 0.1603 0.0000 (multiplicity 4)  4 Cl 2.67-2.70
Cu 0.0000 0.5000 0.0081 (multiplicity 2)  4 Cl 2.37-2.38
Cl 0.0000 0.0000 0.7027 (multiplicity 2)  2 Cu 2.38
Cl 0.0000 0.3461 0.7862 (multiplicity 4)  1 Cu 2.37

## Properties
**Calculated total energy**: -0.122 Ha/atom
**Energy relative to the elements, uncorrected**: -1.278 eV/atom
**Energy above the most stable polymorph in this dataset**: 22 meV per atom

***

The following is a DFT calculation (PBE) of crystalline Pr2Dy5Bi3C2 at its relaxed geometry.

a b c (Å): 4.8918 4.8918 26.4389
angles (deg): 90.00 90.00 90.00
Last column: nearest neighbours and their distance in Å.
Space group I4/mmm (No. 139)
Unique sites:
Pr 0.0000 0.0000 0.1935 (multiplicity 4)  1 C 2.65
Dy 0.0000 0.0000 0.0000 (multiplicity 2)  2 C 2.47
Dy 0.0000 0.5000 0.0918 (multiplicity 8)  2 C 2.45
Bi 0.0000 0.0000 0.3215 (multiplicity 4)  4 Dy 3.35, 5 Pr 3.38-3.48
Bi 0.0000 0.0000 0.5000 (multiplicity 2)  12 Dy 3.45-3.46
C 0.0000 0.0000 0.0933 (multiplicity 4)  5 Dy 2.45-2.47, 1 Pr 2.65

## Properties
**ΔH_f (0 K)**: -0.638 eV per atom
**Calculated total energy**: -0.215 Ha/atom

***

The following is a DFT calculation (PBE) of crystalline CaTb5Y6 at its relaxed geometry.

a b c (Å): 6.2171 10.7675 11.8842
angles (deg): 90.00 100.04 90.00
Last column: nearest neighbours and their distance in Å.
Space group C2/m (No. 12)
Unique sites:
Ca 0.0000 0.0000 0.0000 (multiplicity 2)  6 Tb 3.59, 6 Y 3.63-3.64
Tb 0.0000 0.1655 0.5000 (multiplicity 4)  6 Y 3.54-3.57, 6 Tb 3.56-3.60
Tb 0.0000 0.3334 0.0000 (multiplicity 4)  3 Tb 3.59, 3 Ca 3.59, 6 Y 3.61
Tb 0.0000 0.5000 0.5000 (multiplicity 2)  6 Y 3.53-3.57, 6 Tb 3.58-3.60
Y 0.2464 0.3307 0.7469 (multiplicity 8)  5 Tb 3.54-3.61, 6 Y 3.56-3.65, 1 Ca 3.63
Y 0.2459 0.5000 0.2533 (multiplicity 4)  5 Tb 3.53-3.61, 6 Y 3.56-3.65, 1 Ca 3.64

## Properties
**ΔH_f (0 K)**: 0.052 eV per atom
**Calculated total energy**: -0.194 Ha/atom

***

The following is a DFT calculation (PBE) of crystalline Er2AuS at its relaxed geometry.

a b c (Å): 3.9043 22.4240 4.0798
angles (deg): 90.00 90.00 90.00
Last column: nearest neighbours and their distance in Å.
Space group Cmcm (No. 63)
Unique sites:
Er 0.0000 0.0716 0.2500 (multiplicity 4)  1 S 2.73, 4 Au 2.88
Er 0.0000 0.3141 0.2500 (multiplicity 4)  5 S 2.71-2.83
Au 0.0000 0.4533 0.2500 (multiplicity 4)  5 Er 2.88-3.12, 2 Au 2.92
S 0.0000 0.1934 0.2500 (multiplicity 4)  6 Er 2.71-2.83

## Properties
**Calculated total energy**: -0.204 Ha/atom
**Energy relative to the elements, uncorrected**: -1.410 eV/atom
**Energy above the most stable polymorph in this dataset**: 0 meV per atom

***

The following is a DFT calculation (PBE) of crystalline BaCr2Re at its relaxed geometry.

a b c (Å): 3.0012 3.0012 28.4557
angles (deg): 90.00 90.00 120.00
Last column: nearest neighbours and their distance in Å.
Space group R3m (No. 160, hexagonal axes)
Unique sites:
Ba 0.0000 0.0000 0.0000 (multiplicity 3)  6 Ba 3.00
Cr 0.0000 0.0000 0.2272 (multiplicity 3)  3 Cr 2.37
Cr 0.0000 0.0000 0.5037 (multiplicity 3)  3 Cr 2.37, 3 Re 2.54
Re 0.0000 0.0000 0.7716 (multiplicity 3)  3 Cr 2.54

## Properties
**ΔH_f (0 K)**: 1.125 eV per atom
**Calculated total energy**: -0.268 Ha/atom
**Energy above the most stable polymorph in this dataset**: 435 meV per atom

***

The following is a DFT calculation (PBE) of crystalline BC2 at its relaxed geometry.

a b c (Å): 13.7381 2.6036 4.4787
angles (deg): 90.00 107.93 90.00
Last column: nearest neighbours and their distance in Å.
Space group Cm (No. 8)
Unique sites:
B 0.0000 0.0000 0.0000 (multiplicity 2)  2 C 1.62-1.67, 2 B 1.79
B 0.0031 0.5000 0.4376 (multiplicity 2)  3 C 1.57-1.63
B 0.0676 0.5000 0.8741 (multiplicity 2)  1 C 1.53
B 0.2134 0.0000 0.8568 (multiplicity 2)  4 C 1.58-1.74
C 0.0595 0.0000 0.3856 (multiplicity 2)  1 C 1.53, 3 B 1.57-1.67
C 0.1766 0.0000 0.4822 (multiplicity 2)  3 C 1.53-1.58, 1 B 1.60
C 0.1842 0.5000 0.0087 (multiplicity 2)  1 C 1.51, 3 B 1.53-1.58
C 0.2184 0.5000 0.3640 (multiplicity 2)  4 C 1.51-1.59
C 0.3399 0.5000 0.4874 (multiplicity 2)  4 C 1.58-1.59
C 0.3463 0.0000 0.9965 (multiplicity 2)  3 C 1.55
C 0.3767 0.5000 0.8579 (multiplicity 2)  3 C 1.55-1.58, 1 B 1.62
C 0.3792 0.0000 0.3598 (multiplicity 2)  3 C 1.55-1.58, 1 B 1.63

## Properties
**ΔH_f (0 K)**: 0.340 eV per atom
**Calculated total energy**: -0.295 Ha/atom
**Energy above the most stable polymorph in this dataset**: 100 meV per atom

***

The following is a DFT calculation (PBE) of crystalline CaTcBr2 at its relaxed geometry.

a b c (Å): 3.6032 3.6032 28.2010
angles (deg): 90.00 90.00 120.00
Last column: nearest neighbours and their distance in Å.
Space group R3m (No. 160, hexagonal axes)
Unique sites:
Ca 0.0000 0.0000 0.0000 (multiplicity 3)  3 Br 2.83
Tc 0.0000 0.0000 0.2432 (multiplicity 3)  3 Br 2.50
Br 0.0000 0.0000 0.5273 (multiplicity 3)  3 Tc 2.50
Br 0.0000 0.0000 0.7347 (multiplicity 3)  3 Ca 2.83

## Properties
**Calculated total energy**: -0.156 Ha/atom
**Energy relative to the elements, uncorrected**: -0.328 eV/atom
**Energy above the most stable polymorph in this dataset**: 35 meV per atom

***

The following is a DFT calculation (PBE) of crystalline Pr3Ho3ErS8 at its relaxed geometry.

a b c (Å): 7.8995 7.8995 19.8287
angles (deg): 90.00 90.00 120.00
Last column: nearest neighbours and their distance in Å.
Space group R-3m (No. 166, hexagonal axes)
Unique sites:
Pr 0.0000 0.5000 0.0000 (multiplicity 9)  6 S 2.89-2.90
Ho 0.0000 0.5000 0.5000 (multiplicity 9)  6 S 2.74
Er 0.0000 0.0000 0.5000 (multiplicity 3)  6 S 2.75
S 0.0000 0.0000 0.2433 (multiplicity 6)  3 Ho 2.74, 3 Pr 2.90
S 0.0013 0.5007 0.7562 (multiplicity 18)  2 Ho 2.74, 1 Er 2.75, 2 Pr 2.89

## Properties
**Calculated total energy**: -0.236 Ha/atom
**Energy relative to the elements, uncorrected**: -2.046 eV/atom

***

The following is a DFT calculation (PBE) of crystalline CoTe2As at its relaxed geometry.

a b c (Å): 8.1627 3.6421 7.1907
angles (deg): 90.00 109.52 90.00
Last column: nearest neighbours and their distance in Å.
Space group Cm (No. 8)
Unique sites:
Co 0.0000 0.0000 0.0000 (multiplicity 2)  3 As 2.37-2.50, 4 Te 2.65
Te 0.0714 0.5000 0.2838 (multiplicity 2)  1 As 2.64, 2 Co 2.65
Te 0.4055 0.0000 0.7163 (multiplicity 2)  1 As 2.63, 2 Co 2.65
As 0.2096 0.5000 0.0002 (multiplicity 2)  3 Co 2.37-2.50, 2 Te 2.63-2.64

## Properties
**Calculated total energy**: -0.165 Ha/atom
**Energy relative to the elements, uncorrected**: 0.008 eV/atom